TaAlI2: relaxed, PBE-GGA.

Output
N(E_F) = 9.05 states/eV per cell
Offset from the most stable computed form = 294.4 meV per atom
ΔE_f (raw) = 0.754 eV per atom

abc: 7.073 7.073 7.073
angles: 90.00 90.00 90.00
Space group Fm-3m (No. 225)
Asymmetric unit:
Ta 0.000 0.000 0.000 (multiplicity 4)
Al 0.000 0.000 0.500 (multiplicity 4)
I 0.250 0.250 0.250 (multiplicity 8)



TaAl2I: relaxed, PBE-GGA.

Output
N(E_F) = 15.43 states/eV per cell
Offset from the most stable computed form = 111.9 meV per atom
ΔE_f (raw) = 0.923 eV per atom

abc: 6.900 6.900 6.900
angles: 90.00 90.00 90.00
Space group Fm-3m (No. 225)
Asymmetric unit:
Ta 0.000 0.000 0.000 (multiplicity 4)
Al 0.250 0.250 0.250 (multiplicity 8)
I 0.000 0.000 0.500 (multiplicity 4)



TaAl2I: relaxed, PBE-GGA.

Output
N(E_F) = 12.82 states/eV per cell
Offset from the most stable computed form = 0.0 meV per atom
ΔE_f (raw) = 0.811 eV per atom

abc: 7.814 7.814 5.787
angles: 90.00 90.00 90.00
Space group I-42d (No. 122)
Asymmetric unit:
Ta 0.000 0.000 0.000 (multiplicity 4)
Al 0.224 0.250 0.125 (multiplicity 8)
I 0.000 0.000 0.500 (multiplicity 4)



Ta2AlI: relaxed, PBE-GGA.

Output
N(E_F) = 9.66 states/eV per cell
Offset from the most stable computed form = 121.4 meV per atom
ΔE_f (raw) = 0.764 eV per atom

abc: 4.125 4.125 19.643
angles: 90.00 90.00 90.00
Space group I-42d (No. 122)
Asymmetric unit:
Ta 0.236 0.250 0.125 (multiplicity 8)
Al 0.000 0.000 0.000 (multiplicity 4)
I 0.000 0.000 0.500 (multiplicity 4)



TaAl2I4: relaxed, PBE-GGA.

Output
N(E_F) = 6.96 states/eV per cell
ΔE_f (raw) = 0.299 eV per atom

abc: 5.772 5.772 15.698
angles: 90.00 90.00 90.00
Space group I4/mmm (No. 139)
Asymmetric unit:
Ta 0.000 0.000 0.000 (multiplicity 2)
Al 0.000 0.000 0.378 (multiplicity 4)
I 0.000 0.000 0.182 (multiplicity 4)
I 0.000 0.500 0.000 (multiplicity 4)



TaAlTe2I: relaxed, PBE-GGA.

Output
N(E_F) = 4.15 states/eV per cell
Offset from the most stable computed form = 627.3 meV per atom
ΔE_f (raw) = 0.935 eV per atom

abc: 5.284 5.284 5.232
angles: 90.00 90.00 90.00
Space group P4/mmm (No. 123)
Asymmetric unit:
Ta 0.000 0.000 0.000 (multiplicity 1)
Al 0.500 0.500 0.500 (multiplicity 1)
Te 0.000 0.500 0.500 (multiplicity 2)
I 0.500 0.500 0.000 (multiplicity 1)



TaAlTe2I: relaxed, PBE-GGA.

Output
N(E_F) = 3.26 states/eV per cell
Offset from the most stable computed form = 0.0 meV per atom
ΔE_f (raw) = 0.308 eV per atom

abc: 5.451 5.451 5.626
angles: 90.00 90.00 90.00
Space group P4/mmm (No. 123)
Asymmetric unit:
Ta 0.000 0.000 0.000 (multiplicity 1)
Al 0.500 0.500 0.500 (multiplicity 1)
Te 0.000 0.500 0.000 (multiplicity 2)
I 0.000 0.000 0.500 (multiplicity 1)



TaTiAlI2: relaxed, PBE-GGA.

Output
N(E_F) = 5.96 states/eV per cell
ΔE_f (raw) = 1.257 eV per atom

abc: 5.278 5.278 5.228
angles: 90.00 90.00 90.00
Space group P4/mmm (No. 123)
Asymmetric unit:
Ta 0.000 0.000 0.000 (multiplicity 1)
Ti 0.500 0.500 0.500 (multiplicity 1)
Al 0.500 0.500 0.000 (multiplicity 1)
I 0.000 0.500 0.500 (multiplicity 2)



Ta2TiAlI: relaxed, PBE-GGA.

Output
N(E_F) = 6.40 states/eV per cell
ΔE_f (raw) = 1.330 eV per atom

abc: 4.844 4.844 4.952
angles: 90.00 90.00 90.00
Space group P4/mmm (No. 123)
Asymmetric unit:
Ta 0.000 0.500 0.000 (multiplicity 2)
Ti 0.000 0.000 0.000 (multiplicity 1)
Al 0.000 0.000 0.500 (multiplicity 1)
I 0.500 0.500 0.500 (multiplicity 1)



Tb2AlI: relaxed, PBE-GGA.

Output
N(E_F) = 3.32 states/eV per cell
Offset from the most stable computed form = 4.2 meV per atom
ΔE_f (raw) = -0.486 eV per atom

abc: 3.586 3.586 8.409
angles: 90.00 90.00 90.00
Space group P4/mmm (No. 123)
Asymmetric unit:
Tb 0.000 0.000 0.221 (multiplicity 2)
Al 0.500 0.500 0.000 (multiplicity 1)
I 0.500 0.500 0.500 (multiplicity 1)



Tb7AlI12: relaxed, PBE-GGA.

Output
N(E_F) = 37.15 states/eV per cell
ΔE_f (raw) = -1.169 eV per atom

abc: 15.7925 15.7925 10.5430
angles: 90.00 90.00 120.00
Space group R-3 (No. 148, hexagonal axes)
Asymmetric unit:
Tb 0.0000 0.0000 0.0000 (multiplicity 3)
Tb 0.0469 0.8818 0.3485 (multiplicity 18)
Al 0.0000 0.0000 0.5000 (multiplicity 3)
I 0.0212 0.4343 0.1641 (multiplicity 18)
I 0.0513 0.8691 0.8385 (multiplicity 18)



Tb4Al2I5: relaxed, PBE-GGA.

Output
N(E_F) = 13.35 states/eV per cell
ΔE_f (raw) = -0.803 eV per atom

abc: 24.093 4.077 8.631
angles: 90.00 93.07 90.00
Space group C2/m (No. 12)
Asymmetric unit:
Tb 0.026 0.000 0.289 (multiplicity 4)
Tb 0.165 0.500 0.433 (multiplicity 4)
Al 0.052 0.500 0.542 (multiplicity 4)
I 0.000 0.500 0.000 (multiplicity 2)
I 0.147 0.000 0.165 (multiplicity 4)
I 0.209 0.000 0.681 (multiplicity 4)



Tb2AlI: relaxed, PBE-GGA.

Output
N(E_F) = 4.33 states/eV per cell
Offset from the most stable computed form = 0.0 meV per atom
ΔE_f (raw) = -0.490 eV per atom

abc: 3.8735 3.8735 26.3224
angles: 90.00 90.00 120.00
Space group R-3m (No. 166, hexagonal axes)
Asymmetric unit:
Tb 0.0000 0.0000 0.2417 (multiplicity 6)
Al 0.0000 0.0000 0.5000 (multiplicity 3)
I 0.0000 0.0000 0.0000 (multiplicity 3)